Record 1
{
  "formula": "SrSc2Mo",
  "functional": "GGA-PBE",
  "state": "optimized geometry",
  "polymorph_energy_ev_per_atom": 0.224,
  "sg": "No. 166",
  "dos_ef_per_ev_cell": 3.763,
  "final_energy_ev_per_atom": -5.83,
  "magnetic_moment_mub_per_fu": 0.00,
  "cell": [[1.709, 2.132, 10.528], [1.181, -1.217, 10.744], [4.276, -0.029, 10.001]],
  "species": ["Sc", "Sc", "Sr", "Mo"],
  "fractional_positions": [[0.893, 0.893, 0.893], [0.107, 0.107, 0.107], [0.000, 0.000, 0.000], [0.500, 0.500, 0.500]]
}

***

Record 2
{
  "formula": "SrSc2Mo",
  "functional": "GGA-PBE",
  "state": "optimized geometry",
  "polymorph_energy_ev_per_atom": 0.458,
  "sg": "No. 12",
  "dos_ef_per_ev_cell": 6.401,
  "final_energy_ev_per_atom": -5.59,
  "magnetic_moment_mub_per_fu": 0.00,
  "cell": [[6.138, -0.002, -0.004], [-2.644, 5.539, -0.004], [0.705, 1.118, 2.786]],
  "species": ["Mo", "Sc", "Sc", "Sr"],
  "fractional_positions": [[0.000, 0.500, 0.500], [0.000, 0.000, 0.000], [0.500, 0.500, 0.000], [0.500, 0.000, 0.500]]
}

***

Record 3
{
  "formula": "SrScMo2",
  "functional": "GGA-PBE",
  "state": "optimized geometry",
  "polymorph_energy_ev_per_atom": 0.000,
  "sg": "No. 99",
  "dos_ef_per_ev_cell": 3.836,
  "final_energy_ev_per_atom": -7.09,
  "magnetic_moment_mub_per_fu": 0.00,
  "cell": [[-2.734, -0.101, -1.840], [1.423, -2.207, -1.994], [-3.055, -6.387, 4.890]],
  "species": ["Mo", "Mo", "Sc", "Sr"],
  "fractional_positions": [[0.000, 0.000, 0.071], [0.500, 0.500, 0.220], [0.000, 0.000, 0.418], [0.500, 0.500, 0.790]]
}